(1)
Entry from Alexandria: NdCd2 after structural relaxation (GGA-PBEsol).

Properties
- Energy relative to the elements: -0.375 eV per atom

a = 5.0052 Å, b = 5.0052 Å, c = 3.3358 Å
α = 90.00°, β = 90.00°, γ = 120.00°
Closest atoms and distances in Å follow each position.
Space group P6/mmm (No. 191)
Unique sites:
Nd 0.0000 0.0000 0.0000 x1  2 Nd 3.34, 12 Cd 3.34
Cd 0.3333 0.6667 0.5000 x2  3 Cd 2.89


(2)
Entry from Alexandria: KMn2In after structural relaxation (GGA-PBEsol).

Properties
- Energy relative to the elements: 1.027 eV per atom

a = 6.6431 Å, b = 8.0482 Å, c = 3.0416 Å
α = 90.00°, β = 90.00°, γ = 90.00°
Closest atoms and distances in Å follow each position.
Space group Cmmm (No. 65)
Unique sites:
K 0.0000 0.0000 0.0000 x2  8 Mn 3.02, 2 K 3.04, 2 In 3.32
Mn 0.2500 0.2500 0.5000 x4  4 K 3.02, 4 In 3.02, 4 Mn 3.04-3.32
In 0.0000 0.5000 0.0000 x2  8 Mn 3.02, 2 In 3.04, 2 K 3.32


(3)
Entry from Alexandria: YHg2Cl after structural relaxation (GGA-PBEsol).

Properties
- ΔE_f (raw): -616 meV per atom

a = 3.5998 Å, b = 5.3921 Å, c = 5.2865 Å
α = 90.00°, β = 96.11°, γ = 90.00°
Closest atoms and distances in Å follow each position.
Space group P2/m (No. 10)
Unique sites:
Y 0.0000 0.0000 0.0000 x1  2 Cl 2.64
Hg 0.3697 0.5000 0.2400 x2  2 Hg 2.80-2.81
Cl 0.0000 0.0000 0.5000 x1  2 Y 2.64


(4)
Entry from Alexandria: BaTe2Ru after structural relaxation (GGA-PBEsol).

Properties
- ΔE_f (raw): -330 meV per atom

a = 3.6339 Å, b = 4.0055 Å, c = 14.8679 Å
α = 90.00°, β = 90.00°, γ = 90.00°
Closest atoms and distances in Å follow each position.
Space group Imm2 (No. 44)
Unique sites:
Ba 0.0000 0.0000 0.0000 x2  6 Te 3.35, 2 Ba 3.63
Te 0.0000 0.0000 0.3670 x2  2 Ru 2.61
Te 0.0000 0.5000 0.1807 x2  4 Ru 2.85
Ru 0.0000 0.5000 0.7413 x2  6 Te 2.61-2.85


| no. | calculated volume (A^3/atom) |
| --- | --- |
| 1 | 24.12 |
| 2 | 20.33 |
| 3 | 25.51 |
| 4 | 27.05 |